--- A ---
First-principles (PBE) data for an optimized crystal structure of Pm2Tm3Zn2, as listed in the Alexandria database.

For the density of states at the Fermi level, the calculation gives 7.75 states/eV/f.u.

The structure belongs to space group Cmmm (No. 65); the cell edges are 3.595, 30.252 and 3.506 Å and the angles 90.00°, 90.00° and 90.00°. The inequivalent atoms are Pm at (0.000, 0.199, 0.000), Tm at (0.000, 0.081, 0.000), Tm at (0.000, 0.500, 0.500) and Zn at (0.000, 0.364, 0.500).

--- B ---
First-principles (PBE) data for an optimized crystal structure of Pm2Tm3Zn2, as listed in the Alexandria database.

For the density of states at the Fermi level, the calculation gives 9.16 states/eV/f.u.

The structure belongs to space group C2/m (No. 12); the cell edges are 11.433, 4.716 and 8.045 Å and the angles 90.00°, 116.91° and 90.00°. The inequivalent atoms are Pm at (0.136, 0.000, 0.291), Tm at (0.000, 0.500, 0.500), Tm at (0.134, 0.500, 0.961) and Zn at (0.144, 0.000, 0.692).

A comes first in stability; the runner-up is 0.039 eV/atom higher.

--- A ---
First-principles (PBE) data for an optimized crystal structure of Pm3TmZn8, as listed in the Alexandria database.

For the density of states at the Fermi level, the calculation gives 5.68 states/eV/f.u.

The structure belongs to space group R3m (No. 160, hexagonal axes); the cell edges are 5.5267, 5.5267 and 26.9536 Å and the angles 90.00°, 90.00° and 120.00°. The inequivalent atoms are Pm at (0.0000, 0.0000, 0.0000), Pm at (0.0000, 0.0000, 0.1249), Pm at (0.0000, 0.0000, 0.4992), Tm at (0.0000, 0.0000, 0.6238), Zn at (0.0000, 0.0000, 0.3122), Zn at (0.0000, 0.0000, 0.8118), Zn at (0.0016, 0.5008, 0.5631) and Zn at (0.1677, 0.3355, 0.3942).

--- B ---
First-principles (PBE) data for an optimized crystal structure of Pm3TmZn8, as listed in the Alexandria database.

For the density of states at the Fermi level, the calculation gives 7.26 states/eV/f.u.

The structure belongs to space group P3m1 (No. 156); the cell edges are 5.6226, 5.6226 and 8.6895 Å and the angles 90.00°, 90.00° and 120.00°. The inequivalent atoms are Pm at (0.0000, 0.0000, 0.0000), Pm at (0.0000, 0.0000, 0.3929), Pm at (0.3333, 0.6667, 0.8916), Tm at (0.3333, 0.6667, 0.5039), Zn at (0.0021, 0.5010, 0.2009), Zn at (0.3371, 0.1686, 0.6950), Zn at (0.6667, 0.3333, 0.4451) and Zn at (0.6667, 0.3333, 0.9493).

A comes first in stability; the runner-up is 0.015 eV/atom higher.

--- A ---
First-principles (PBE) data for an optimized crystal structure of Pm2TmZn, as listed in the Alexandria database.

For the density of states at the Fermi level, the calculation gives 4.68 states/eV/f.u.

The structure belongs to space group Fm-3m (No. 225); the cell edges are 7.635, 7.635 and 7.635 Å and the angles 90.00°, 90.00° and 90.00°. The inequivalent atoms are Pm at (0.250, 0.250, 0.250), Tm at (0.000, 0.000, 0.000) and Zn at (0.000, 0.000, 0.500).

--- B ---
First-principles (PBE) data for an optimized crystal structure of Pm2TmZn, as listed in the Alexandria database.

For the density of states at the Fermi level, the calculation gives 4.35 states/eV/f.u.

The structure belongs to space group I4/mmm (No. 139); the cell edges are 5.095, 5.095 and 17.374 Å and the angles 90.00°, 90.00° and 90.00°. The inequivalent atoms are Pm at (0.000, 0.000, 0.145), Pm at (0.000, 0.500, 0.000), Tm at (0.000, 0.000, 0.350) and Zn at (0.000, 0.500, 0.250).

B comes first in stability; the runner-up is 0.171 eV/atom higher.

--- A ---
First-principles (PBE) data for an optimized crystal structure of Pm4TmZn, as listed in the Alexandria database.

For the density of states at the Fermi level, the calculation gives 6.67 states/eV/f.u.

The structure belongs to space group P4/mmm (No. 123); the cell edges are 3.633, 3.633 and 13.842 Å and the angles 90.00°, 90.00° and 90.00°. The inequivalent atoms are Pm at (0.000, 0.000, 0.133), Pm at (0.500, 0.500, 0.321), Tm at (0.000, 0.000, 0.500) and Zn at (0.500, 0.500, 0.000).

--- B ---
First-principles (PBE) data for an optimized crystal structure of Pm4TmZn, as listed in the Alexandria database.

For the density of states at the Fermi level, the calculation gives 8.39 states/eV/f.u.

The structure belongs to space group P4/mmm (No. 123); the cell edges are 5.237, 5.237 and 7.479 Å and the angles 90.00°, 90.00° and 90.00°. The inequivalent atoms are Pm at (0.000, 0.500, 0.232), Tm at (0.000, 0.000, 0.500) and Zn at (0.500, 0.500, 0.000).

A comes first in stability; the runner-up is 0.457 eV/atom higher.

--- A ---
First-principles (PBE) data for an optimized crystal structure of Pm3Y13, as listed in the Alexandria database.

For the density of states at the Fermi level, the calculation gives 30.86 states/eV/f.u.

The structure belongs to space group Amm2 (No. 38); the cell edges are 7.336, 11.394 and 12.668 Å and the angles 90.00°, 90.00° and 90.00°. The inequivalent atoms are Pm at (0.000, 0.000, 0.000), Pm at (0.251, 0.000, 0.749), Y at (0.000, 0.000, 0.498), Y at (0.000, 0.249, 0.166), Y at (0.250, 0.000, 0.250), Y at (0.250, 0.249, 0.417), Y at (0.500, 0.000, 0.000), Y at (0.500, 0.000, 0.499) and Y at (0.500, 0.249, 0.167).

--- B ---
First-principles (PBE) data for an optimized crystal structure of Pm3Y13, as listed in the Alexandria database.

For the density of states at the Fermi level, the calculation gives 21.43 states/eV/f.u.

The structure belongs to space group Amm2 (No. 38); the cell edges are 10.119, 10.141 and 10.153 Å and the angles 90.00°, 90.00° and 90.00°. The inequivalent atoms are Pm at (0.000, 0.000, 0.000), Pm at (0.250, 0.000, 0.251), Y at (0.000, 0.000, 0.501), Y at (0.000, 0.249, 0.750), Y at (0.250, 0.250, 0.000), Y at (0.251, 0.000, 0.750), Y at (0.500, 0.000, 0.000), Y at (0.500, 0.000, 0.501) and Y at (0.500, 0.250, 0.251).

A comes first in stability; the runner-up is 0.013 eV/atom higher.

--- A ---
First-principles (PBE) data for an optimized crystal structure of PmY2, as listed in the Alexandria database.

For the density of states at the Fermi level, the calculation gives 4.44 states/eV/f.u.

The structure belongs to space group P-1 (No. 2); the cell edges are 3.600, 7.198 and 8.027 Å and the angles 103.00°, 102.89° and 90.17°. The inequivalent atoms are Pm at (0.167, 0.083, 0.334), Y at (0.166, 0.583, 0.333) and Y at (0.499, 0.748, 0.999).

--- B ---
First-principles (PBE) data for an optimized crystal structure of PmY2, as listed in the Alexandria database.

For the density of states at the Fermi level, the calculation gives 3.83 states/eV/f.u.

The structure belongs to space group C2/m (No. 12); the cell edges are 6.285, 3.628 and 8.924 Å and the angles 90.00°, 103.65° and 90.00°. The inequivalent atoms are Pm at (0.000, 0.000, 0.000) and Y at (0.221, 0.000, 0.665).

--- C ---
First-principles (PBE) data for an optimized crystal structure of PmY2, as listed in the Alexandria database.

For the density of states at the Fermi level, the calculation gives 8.36 states/eV/f.u.

The structure belongs to space group Fd-3m (No. 227, origin choice 2); the cell edges are 9.445, 9.445 and 9.445 Å and the angles 90.00°, 90.00° and 90.00°. The inequivalent atoms are Pm at (0.125, 0.125, 0.125) and Y at (0.000, 0.000, 0.500).

B comes first in stability; the runner-up is 0.025 eV/atom higher.